<i>
{"formula": "AsSeIBr2", "functional": "PBE-GGA", "state": "relaxed", "cell": [[5.734, 0.000, 0.000], [0.000, 5.734, 0.000], [0.000, 0.000, 5.525]], "species": ["As", "Se", "I", "Br", "Br"], "fractional_positions": [[0.000, 0.000, 0.000], [0.500, 0.500, 0.000], [0.500, 0.500, 0.500], [0.000, 0.500, 0.500], [0.500, 0.000, 0.500]], "volume_a3_per_cell": 181.7}

<ii>
{"formula": "AsSeIBr2", "functional": "PBE-GGA", "state": "relaxed", "cell": [[5.133, 0.000, 0.000], [0.000, 5.133, 0.000], [0.000, 0.000, 5.645]], "species": ["As", "Se", "I", "Br", "Br"], "fractional_positions": [[0.000, 0.000, 0.000], [0.000, 0.000, 0.500], [0.500, 0.500, 0.500], [0.000, 0.500, 0.000], [0.500, 0.000, 0.000]], "volume_a3_per_cell": 148.8}

Of all the structures shown, which is most stable? <ii>, and <i> is the least stable.